This record from Alexandria via LeMat-Bulk describes crystalline Ba2BeIn at its relaxed geometry. The functional is PBE-GGA.

The raw total energy comes out at -2.2388 eV/atom. Its polymorph energy (0 for the lowest one) is 284.0 meV per atom. The value obtained for the formation energy is 0.34 eV per atom.

abc: 10.320 10.320 10.320
angles: 23.90 23.90 23.90
Element x y z (fractional)
Ba 0.241 0.241 0.241
Ba 0.759 0.759 0.759
Be 0.500 0.500 0.500
In 0.000 0.000 0.000

This record from Alexandria via LeMat-Bulk describes crystalline BeSBr3 at its relaxed geometry. The functional is PBE-GGA.

The raw total energy comes out at -1.8350 eV/atom. Its polymorph energy (0 for the lowest one) is 457.3 meV per atom.

abc: 5.161 5.161 5.161
angles: 90.00 90.00 90.00
Element x y z (fractional)
Be 0.000 0.000 0.000
S 0.500 0.500 0.500
Br 0.000 0.500 0.500
Br 0.500 0.000 0.500
Br 0.500 0.500 0.000

This record from Alexandria via LeMat-Bulk describes crystalline ZnCoCuRh at its relaxed geometry. The functional is PBE-GGA.

The raw total energy comes out at -4.9869 eV/atom. The value obtained for the formation energy is -0.03 eV per atom.

abc: 4.178 4.178 4.178
angles: 60.00 60.00 60.00
Element x y z (fractional)
Zn 0.000 0.000 0.000
Co 0.500 0.500 0.500
Cu 0.250 0.250 0.250
Rh 0.750 0.750 0.750

This record from Alexandria via LeMat-Bulk describes crystalline BaMg2Pd at its relaxed geometry. The functional is PBE-GGA.

The raw total energy comes out at -2.6743 eV/atom. The value obtained for the formation energy is -0.10 eV per atom.

abc: 9.517 9.517 9.517
angles: 145.39 145.39 49.75
Element x y z (fractional)
Ba 0.375 0.625 0.750
Ba 0.625 0.375 0.250
Mg 0.000 0.000 0.000
Mg 0.000 0.000 0.500
Mg 0.000 0.500 0.000
Mg 0.500 0.000 0.500
Pd 0.125 0.875 0.250
Pd 0.875 0.125 0.750